(1)
Y2ZrTc | PBE | relaxed

a = 4.9509 Å, b = 4.9509 Å, c = 3.8744 Å
α = 90.00°, β = 90.00°, γ = 101.24°
Atoms (fractional coordinates):
Y 0.0000 0.5000 0.0000
Y 0.5000 0.0000 0.0000
Zr 0.0000 0.0000 0.5000
Tc 0.5000 0.5000 0.5000

- polymorph energy (0 for the lowest one) (eV per atom) = 0.369



(2)
Y2ZrTc | PBE | relaxed

a = 5.8633 Å, b = 5.8633 Å, c = 5.8633 Å
α = 137.21°, β = 137.21°, γ = 62.11°
Atoms (fractional coordinates):
Y 0.2500 0.7500 0.5000
Y 0.7500 0.2500 0.5000
Zr 0.0000 0.0000 0.0000
Tc 0.5000 0.5000 0.0000

- polymorph energy (0 for the lowest one) (eV per atom) = 0.339



(3)
YZrTc4 | PBE | relaxed

a = 5.3434 Å, b = 5.3434 Å, c = 5.3434 Å
α = 60.00°, β = 60.00°, γ = 60.00°
Atoms (fractional coordinates):
Y 0.0000 0.0000 0.0000
Zr 0.7500 0.7500 0.7500
Tc 0.3753 0.3753 0.3753
Tc 0.3753 0.3753 0.8740
Tc 0.3753 0.8740 0.3753
Tc 0.8740 0.3753 0.3753



(4)
Y2ZrTc | PBE | relaxed

a = 4.2970 Å, b = 4.2970 Å, c = 5.0011 Å
α = 90.00°, β = 90.00°, γ = 90.00°
Atoms (fractional coordinates):
Y 0.0000 0.5000 0.0000
Y 0.5000 0.0000 0.0000
Zr 0.0000 0.0000 0.5000
Tc 0.5000 0.5000 0.5000

- polymorph energy (0 for the lowest one) (eV per atom) = 0.336



(5)
Y2ZrTc | PBE | relaxed

a = 6.1273 Å, b = 6.1273 Å, c = 5.2480 Å
α = 115.35°, β = 115.35°, γ = 33.71°
Atoms (fractional coordinates):
Y 0.0000 0.0000 0.0000
Y 0.2079 0.2079 0.7077
Zr 0.4088 0.4088 0.4089
Tc 0.7270 0.7270 0.2260

- polymorph energy (0 for the lowest one) (eV per atom) = 0.007



(6)
Y2ZrTc | PBE | relaxed

a = 3.4370 Å, b = 3.4370 Å, c = 8.1116 Å
α = 90.00°, β = 90.00°, γ = 90.00°
Atoms (fractional coordinates):
Y 0.0000 0.0000 0.2064
Y 0.0000 0.0000 0.7936
Zr 0.5000 0.5000 0.5000
Tc 0.5000 0.5000 0.0000

- polymorph energy (0 for the lowest one) (eV per atom) = 0.234



(7)
Y2ZrTc | PBE | relaxed

a = 5.0863 Å, b = 5.0863 Å, c = 5.0863 Å
α = 60.00°, β = 60.00°, γ = 60.00°
Atoms (fractional coordinates):
Y 0.2500 0.2500 0.2500
Y 0.7500 0.7500 0.7500
Zr 0.0000 0.0000 0.0000
Tc 0.5000 0.5000 0.5000

- polymorph energy (0 for the lowest one) (eV per atom) = 0.384



(8)
Y2ZrTc | PBE | relaxed

a = 6.1980 Å, b = 6.1980 Å, c = 6.1980 Å
α = 146.73°, β = 132.99°, γ = 58.81°
Atoms (fractional coordinates):
Y 0.2063 0.2063 0.0000
Y 0.7937 0.7937 0.0000
Zr 0.5000 0.0000 0.5000
Tc 0.0000 0.5000 0.5000

- polymorph energy (0 for the lowest one) (eV per atom) = 0.131



no.,V (Å³/atom),final energy (eV for the cell shown),E_form (kJ per mole of atoms)
1,23.286,-30.65,29
2,22.976,-30.77,26
3,17.980,-57.63,-19
4,23.085,-30.79,25
5,24.448,-32.10,-6
6,23.956,-31.19,16
7,23.261,-30.59,30
8,23.684,-31.60,6